No. 1
# LiDyHg2 (PBE, optimized geometry)
# ΔH_f (0 K)	-0.448	eV per atom
# total magnetization	0.0	μB per cell
# symmetry	Fm-3m (225)
# polymorph energy (0 for the lowest one)	0.00	eV/f.u.
data_LiDyHg2
_chemical_formula_sum 'Li1 Dy1 Hg2'
_space_group_name_H-M_alt 'P 1'
_space_group_IT_number 1
_cell_length_a 5.0171
_cell_length_b 5.0171
_cell_length_c 5.0171
_cell_angle_alpha 60.00
_cell_angle_beta 60.00
_cell_angle_gamma 60.00
loop_
_space_group_symop_operation_xyz
'x,y,z'
loop_
_atom_site_label
_atom_site_fract_x
_atom_site_fract_y
_atom_site_fract_z
Hg1 0.7500 0.7500 0.7500
Hg2 0.2500 0.2500 0.2500
Li1 0.0000 0.0000 0.0000
Dy1 0.5000 0.5000 0.5000


No. 2
# LiDyHg6 (PBE, optimized geometry)
# ΔH_f (0 K)	-0.261	eV per atom
# total magnetization	0.0	μB per cell
# symmetry	Amm2 (38)
data_LiDyHg6
_chemical_formula_sum 'Li1 Dy1 Hg6'
_space_group_name_H-M_alt 'P 1'
_space_group_IT_number 1
_cell_length_a 5.0479
_cell_length_b 6.5377
_cell_length_c 6.5377
_cell_angle_alpha 119.93
_cell_angle_beta 90.00
_cell_angle_gamma 90.00
loop_
_space_group_symop_operation_xyz
'x,y,z'
loop_
_atom_site_label
_atom_site_fract_x
_atom_site_fract_y
_atom_site_fract_z
Dy1 0.0000 0.0838 0.9162
Hg1 0.5000 0.9144 0.5797
Hg2 0.0000 0.5791 0.4209
Hg3 0.0000 0.0926 0.4207
Hg4 0.5000 0.4203 0.0856
Hg5 0.0000 0.5793 0.9074
Hg6 0.5000 0.9150 0.0850
Li1 0.5000 0.4153 0.5847